[1]
{
  "formula": "KSc4Hg",
  "functional": "PBE",
  "state": "optimized geometry",
  "lattice_angstrom": [[0.5731, 2.0013, 5.8161], [1.7240, 5.8281, 1.1053], [-4.0701, 4.0434, 2.2904]],
  "species": ["K", "Sc", "Sc", "Sc", "Sc", "Hg"],
  "frac_coords": [[0.0000, 0.0000, 0.0000], [0.8675, 0.3775, 0.3775], [0.3775, 0.3775, 0.8675], [0.3775, 0.8675, 0.3775], [0.3775, 0.3775, 0.3775], [0.7500, 0.7500, 0.7500]],
  "mass_density_g_cm3": 4.2,
  "e_form_mev_per_atom": 457,
  "dft_energy_ev_per_atom": -3.997
}


[2]
{
  "formula": "KScHg3",
  "functional": "PBE",
  "state": "optimized geometry",
  "lattice_angstrom": [[-3.1915, -3.7141, -3.1500], [-0.7104, -3.3708, 4.6942], [-4.8179, 2.9573, 1.3945]],
  "species": ["Sc", "K", "Hg", "Hg", "Hg"],
  "frac_coords": [[0.5000, 0.5000, 0.5000], [0.0000, 0.0000, 0.0000], [0.0000, 0.5000, 0.0000], [0.0000, 0.0000, 0.5000], [0.5000, 0.0000, 0.0000]],
  "mass_density_g_cm3": 5.8,
  "e_form_mev_per_atom": 656,
  "de_polymorph_mev_per_atom": 676,
  "dft_energy_ev_per_atom": -1.011
}


[3]
{
  "formula": "K2ScHg2",
  "functional": "PBE",
  "state": "optimized geometry",
  "lattice_angstrom": [[7.6492, 0.0000, 0.0000], [0.0000, 7.6492, 0.0000], [0.0000, 0.0000, 5.8742]],
  "species": ["Sc", "Sc", "K", "K", "K", "K", "Hg", "Hg", "Hg", "Hg"],
  "frac_coords": [[0.0000, 0.0000, 0.0000], [0.5000, 0.5000, 0.0000], [0.1726, 0.6726, 0.5000], [0.6726, 0.8274, 0.5000], [0.8274, 0.3274, 0.5000], [0.3274, 0.1726, 0.5000], [0.3602, 0.8602, 0.0000], [0.8602, 0.6398, 0.0000], [0.6398, 0.1398, 0.0000], [0.1398, 0.3602, 0.0000]],
  "mass_density_g_cm3": 5.1,
  "e_form_mev_per_atom": 8,
  "de_polymorph_mev_per_atom": 0,
  "dft_energy_ev_per_atom": -1.818
}


[4]
{
  "formula": "K2ScHg2",
  "functional": "PBE",
  "state": "optimized geometry",
  "lattice_angstrom": [[4.1832, 0.0000, 0.0000], [0.0000, 4.1832, 0.0000], [2.0916, 2.0916, 11.5071]],
  "species": ["Sc", "K", "K", "Hg", "Hg"],
  "frac_coords": [[0.0000, 0.0000, 0.0000], [0.3795, 0.3795, 0.2411], [0.6205, 0.6205, 0.7589], [0.7500, 0.2500, 0.5000], [0.2500, 0.7500, 0.5000]],
  "mass_density_g_cm3": 4.3,
  "e_form_mev_per_atom": 307,
  "de_polymorph_mev_per_atom": 299,
  "dft_energy_ev_per_atom": -1.519
}